# 1
# TbZn6Pd2 GGA-PBE optimized geometry
# Uncorrected energy   -2.82 eV per atom
# Formation enthalpy at 0 K   -302 meV/atom
# N(E_F)   3.6 states/eV per cell
# Symmetry   Immm, No. 71
# Crystal system   orthorhombic
data_TbZn6Pd2
_chemical_formula_sum 'Tb1 Zn6 Pd2'
_cell_length_a 3.690
_cell_length_b 7.304
_cell_length_c 7.304
_cell_angle_alpha 55.69
_cell_angle_beta 75.37
_cell_angle_gamma 75.37
_space_group_name_H-M_alt 'P 1'
_space_group_IT_number 1
_space_group_name_Hall 'P 1'
loop_
_atom_site_label
_atom_site_type_symbol
_atom_site_fract_x
_atom_site_fract_y
_atom_site_fract_z
Pd1 Pd 0.126 0.374 0.374
Zn1 Zn 0.500 0.674 0.326
Zn2 Zn 0.500 0.326 0.674
Zn3 Zn 0.686 0.007 0.622
Zn4 Zn 0.314 0.378 0.993
Pd2 Pd 0.874 0.626 0.626
Tb1 Tb 0.000 0.000 0.000
Zn5 Zn 0.686 0.622 0.007
Zn6 Zn 0.314 0.993 0.378



# 2
# Tb3Zn2Pd3 GGA-PBE optimized geometry
# Uncorrected energy   -4.68 eV per atom
# Formation enthalpy at 0 K   -676 meV/atom
# N(E_F)   10.5 states/eV per cell
# Symmetry   P6_3/mcm, No. 193
# Crystal system   hexagonal
data_Tb3Zn2Pd3
_chemical_formula_sum 'Tb6 Zn4 Pd6'
_cell_length_a 5.600
_cell_length_b 8.283
_cell_length_c 8.283
_cell_angle_alpha 120.00
_cell_angle_beta 90.00
_cell_angle_gamma 90.00
_space_group_name_H-M_alt 'P 1'
_space_group_IT_number 1
_space_group_name_Hall 'P 1'
loop_
_atom_site_label
_atom_site_type_symbol
_atom_site_fract_x
_atom_site_fract_y
_atom_site_fract_z
Pd1 Pd 0.750 0.604 0.000
Pd2 Pd 0.750 0.396 0.396
Tb1 Tb 0.250 0.000 0.731
Zn1 Zn 0.500 0.333 0.667
Zn2 Zn 0.500 0.667 0.333
Tb2 Tb 0.750 0.000 0.269
Pd3 Pd 0.250 0.604 0.604
Zn3 Zn 0.000 0.667 0.333
Zn4 Zn 0.000 0.333 0.667
Tb3 Tb 0.250 0.731 0.000
Pd4 Pd 0.250 0.000 0.396
Tb4 Tb 0.750 0.731 0.731
Pd5 Pd 0.250 0.396 0.000
Tb5 Tb 0.750 0.269 0.000
Tb6 Tb 0.250 0.269 0.269
Pd6 Pd 0.750 0.000 0.604



# 3
# Tb4Zn3Pd GGA-PBE optimized geometry
# Uncorrected energy   -3.93 eV per atom
# Relative energy among the computed polymorphs   0.00 eV/f.u.
# Formation enthalpy at 0 K   -484 meV/atom
# N(E_F)   6.5 states/eV per cell
# Symmetry   P4/mmm, No. 123
# Crystal system   tetragonal
data_Tb4Zn3Pd
_chemical_formula_sum 'Tb4 Zn3 Pd1'
_cell_length_a 3.589
_cell_length_b 3.589
_cell_length_c 14.076
_cell_angle_alpha 90.00
_cell_angle_beta 90.00
_cell_angle_gamma 90.00
_space_group_name_H-M_alt 'P 1'
_space_group_IT_number 1
_space_group_name_Hall 'P 1'
loop_
_atom_site_label
_atom_site_type_symbol
_atom_site_fract_x
_atom_site_fract_y
_atom_site_fract_z
Tb1 Tb 0.000 0.000 0.374
Tb2 Tb 0.000 0.000 0.121
Tb3 Tb 0.000 0.000 0.879
Zn1 Zn 0.500 0.500 0.250
Zn2 Zn 0.500 0.500 0.500
Pd1 Pd 0.500 0.500 0.000
Zn3 Zn 0.500 0.500 0.750
Tb4 Tb 0.000 0.000 0.626



# 4
# Tb2ZnPd5 GGA-PBE optimized geometry
# Uncorrected energy   -5.36 eV per atom
# Formation enthalpy at 0 K   -794 meV/atom
# N(E_F)   1.8 states/eV per cell
# Symmetry   I4mm, No. 107
# Crystal system   tetragonal
data_Tb2ZnPd5
_chemical_formula_sum 'Tb2 Zn1 Pd5'
_cell_length_a 5.794
_cell_length_b 5.794
_cell_length_c 5.794
_cell_angle_alpha 93.63
_cell_angle_beta 117.93
_cell_angle_gamma 117.93
_space_group_name_H-M_alt 'P 1'
_space_group_IT_number 1
_space_group_name_Hall 'P 1'
loop_
_atom_site_label
_atom_site_type_symbol
_atom_site_fract_x
_atom_site_fract_y
_atom_site_fract_z
Pd1 Pd 0.000 0.277 0.277
Tb1 Tb 0.500 0.278 0.778
Pd2 Pd 0.000 0.278 0.777
Pd3 Pd 0.499 0.777 0.777
Zn1 Zn 0.000 0.779 0.779
Pd4 Pd 0.000 0.777 0.278
Tb2 Tb 0.500 0.778 0.278
Pd5 Pd 0.501 0.278 0.278



# 5
# Tb2Zn2Pd GGA-PBE optimized geometry
# Uncorrected energy   -3.94 eV per atom
# Formation enthalpy at 0 K   -543 meV/atom
# N(E_F)   6.7 states/eV per cell
# Symmetry   C2/m, No. 12
# Crystal system   monoclinic
data_Tb2Zn2Pd
_chemical_formula_sum 'Tb4 Zn4 Pd2'
_cell_length_a 4.368
_cell_length_b 5.536
_cell_length_c 10.010
_cell_angle_alpha 89.43
_cell_angle_beta 77.40
_cell_angle_gamma 66.76
_space_group_name_H-M_alt 'P 1'
_space_group_IT_number 1
_space_group_name_Hall 'P 1'
loop_
_atom_site_label
_atom_site_type_symbol
_atom_site_fract_x
_atom_site_fract_y
_atom_site_fract_z
Pd1 Pd 0.612 0.108 0.667
Tb1 Tb 0.078 0.728 0.116
Zn1 Zn 0.630 0.851 0.888
Tb2 Tb 0.324 0.688 0.664
Tb3 Tb 0.922 0.272 0.884
Pd2 Pd 0.388 0.892 0.333
Tb4 Tb 0.676 0.312 0.336
Zn2 Zn 0.088 0.268 0.557
Zn3 Zn 0.370 0.149 0.112
Zn4 Zn 0.912 0.732 0.443



# 6
# TbZrPd4 GGA-PBE optimized geometry
# Uncorrected energy   -6.35 eV per atom
# Formation enthalpy at 0 K   -691 meV/atom
# N(E_F)   14.8 states/eV per cell
# Symmetry   Pnma, No. 62
# Crystal system   orthorhombic
data_TbZrPd4
_chemical_formula_sum 'Tb4 Zr4 Pd16'
_cell_length_a 4.073
_cell_length_b 6.813
_cell_length_c 16.517
_cell_angle_alpha 90.00
_cell_angle_beta 90.00
_cell_angle_gamma 90.00
_space_group_name_H-M_alt 'P 1'
_space_group_IT_number 1
_space_group_name_Hall 'P 1'
loop_
_atom_site_label
_atom_site_type_symbol
_atom_site_fract_x
_atom_site_fract_y
_atom_site_fract_z
Pd1 Pd 0.250 0.724 0.909
Pd2 Pd 0.750 0.276 0.091
Zr1 Zr 0.750 0.191 0.475
Pd3 Pd 0.250 0.562 0.124
Pd4 Pd 0.250 0.062 0.376
Pd5 Pd 0.750 0.776 0.409
Pd6 Pd 0.750 0.043 0.941
Tb1 Tb 0.750 0.321 0.710
Pd7 Pd 0.250 0.457 0.441
Pd8 Pd 0.250 0.131 0.823
Pd9 Pd 0.750 0.369 0.323
Zr2 Zr 0.250 0.809 0.525
Tb2 Tb 0.750 0.821 0.790
Zr3 Zr 0.750 0.691 0.025
Pd10 Pd 0.250 0.224 0.591
Pd11 Pd 0.250 0.631 0.677
Pd12 Pd 0.750 0.869 0.177
Pd13 Pd 0.250 0.957 0.059
Pd14 Pd 0.750 0.543 0.559
Tb3 Tb 0.250 0.679 0.290
Pd15 Pd 0.750 0.938 0.624
Zr4 Zr 0.250 0.309 0.975
Pd16 Pd 0.750 0.438 0.876
Tb4 Tb 0.250 0.179 0.210



# 7
# TbZr2Pd8 GGA-PBE optimized geometry
# Uncorrected energy   -6.47 eV per atom
# Formation enthalpy at 0 K   -715 meV/atom
# N(E_F)   6.0 states/eV per cell
# Symmetry   C2/m, No. 12
# Crystal system   monoclinic
data_TbZr2Pd8
_chemical_formula_sum 'Tb1 Zr2 Pd8'
_cell_length_a 4.119
_cell_length_b 6.709
_cell_length_c 7.589
_cell_angle_alpha 107.30
_cell_angle_beta 105.75
_cell_angle_gamma 90.00
_space_group_name_H-M_alt 'P 1'
_space_group_IT_number 1
_space_group_name_Hall 'P 1'
loop_
_atom_site_label
_atom_site_type_symbol
_atom_site_fract_x
_atom_site_fract_y
_atom_site_fract_z
Pd1 Pd 0.042 0.717 0.083
Pd2 Pd 0.145 0.198 0.289
Pd3 Pd 0.855 0.802 0.711
Pd4 Pd 0.681 0.910 0.363
Zr1 Zr 0.221 0.666 0.442
Zr2 Zr 0.779 0.334 0.558
Pd5 Pd 0.401 0.543 0.801
Pd6 Pd 0.958 0.283 0.917
Pd7 Pd 0.319 0.090 0.637
Pd8 Pd 0.599 0.457 0.199
Tb1 Tb 0.500 0.000 0.000



# 8
# TbZrPd14 GGA-PBE optimized geometry
# Uncorrected energy   -5.78 eV per atom
# Formation enthalpy at 0 K   -410 meV/atom
# N(E_F)   21.4 states/eV per cell
# Symmetry   P4/mmm, No. 123
# Crystal system   tetragonal
data_TbZrPd14
_chemical_formula_sum 'Tb1 Zr1 Pd14'
_cell_length_a 5.730
_cell_length_b 5.730
_cell_length_c 7.926
_cell_angle_alpha 90.00
_cell_angle_beta 90.00
_cell_angle_gamma 90.00
_space_group_name_H-M_alt 'P 1'
_space_group_IT_number 1
_space_group_name_Hall 'P 1'
loop_
_atom_site_label
_atom_site_type_symbol
_atom_site_fract_x
_atom_site_fract_y
_atom_site_fract_z
Pd1 Pd 0.375 0.875 0.000
Pd2 Pd 0.629 0.121 0.246
Pd3 Pd 0.121 0.121 0.246
Pd4 Pd 0.629 0.629 0.246
Pd5 Pd 0.375 0.375 0.000
Pd6 Pd 0.121 0.629 0.246
Pd7 Pd 0.629 0.121 0.754
Pd8 Pd 0.875 0.375 0.500
Pd9 Pd 0.875 0.375 0.000
Pd10 Pd 0.875 0.875 0.000
Tb1 Tb 0.375 0.375 0.500
Pd11 Pd 0.629 0.629 0.754
Pd12 Pd 0.121 0.629 0.754
Zr1 Zr 0.875 0.875 0.500
Pd13 Pd 0.375 0.875 0.500
Pd14 Pd 0.121 0.121 0.754



# 9
# TbZr2Pd9 GGA-PBE optimized geometry
# Uncorrected energy   -6.56 eV per atom
# Formation enthalpy at 0 K   -853 meV/atom
# N(E_F)   1.0 states/eV per cell
# Symmetry   P4/mmm, No. 123
# Crystal system   tetragonal
data_TbZr2Pd9
_chemical_formula_sum 'Tb1 Zr2 Pd9'
_cell_length_a 4.064
_cell_length_b 4.064
_cell_length_c 12.207
_cell_angle_alpha 90.00
_cell_angle_beta 90.00
_cell_angle_gamma 90.00
_space_group_name_H-M_alt 'P 1'
_space_group_IT_number 1
_space_group_name_Hall 'P 1'
loop_
_atom_site_label
_atom_site_type_symbol
_atom_site_fract_x
_atom_site_fract_y
_atom_site_fract_z
Pd1 Pd 0.500 0.000 0.174
Pd2 Pd 0.000 0.500 0.174
Zr1 Zr 0.000 0.000 0.667
Pd3 Pd 0.500 0.500 0.337
Tb1 Tb 0.000 0.000 0.000
Pd4 Pd 0.500 0.000 0.826
Zr2 Zr 0.000 0.000 0.333
Pd5 Pd 0.500 0.000 0.500
Pd6 Pd 0.000 0.500 0.500
Pd7 Pd 0.500 0.500 0.663
Pd8 Pd 0.500 0.500 0.000
Pd9 Pd 0.000 0.500 0.826



# 10
# TbZrPd5 GGA-PBE optimized geometry
# Uncorrected energy   -6.22 eV per atom
# Formation enthalpy at 0 K   -629 meV/atom
# N(E_F)   3.6 states/eV per cell
# Symmetry   P4/mmm, No. 123
# Crystal system   tetragonal
data_TbZrPd5
_chemical_formula_sum 'Tb1 Zr1 Pd5'
_cell_length_a 4.046
_cell_length_b 4.047
_cell_length_c 8.063
_cell_angle_alpha 90.00
_cell_angle_beta 90.00
_cell_angle_gamma 90.00
_space_group_name_H-M_alt 'P 1'
_space_group_IT_number 1
_space_group_name_Hall 'P 1'
loop_
_atom_site_label
_atom_site_type_symbol
_atom_site_fract_x
_atom_site_fract_y
_atom_site_fract_z
Pd1 Pd 0.500 0.000 0.229
Pd2 Pd 0.500 0.000 0.771
Pd3 Pd 0.500 0.500 0.500
Tb1 Tb 0.000 0.000 0.500
Zr1 Zr 0.500 0.500 0.000
Pd4 Pd 0.000 0.500 0.771
Pd5 Pd 0.000 0.500 0.229



# 11
# Tb3ZrPd12 GGA-PBE optimized geometry
# Uncorrected energy   -6.16 eV per atom
# Formation enthalpy at 0 K   -864 meV/atom
# N(E_F)   8.1 states/eV per cell
# Symmetry   P4/mmm, No. 123
# Crystal system   tetragonal
data_Tb3ZrPd12
_chemical_formula_sum 'Tb3 Zr1 Pd12'
_cell_length_a 4.107
_cell_length_b 4.107
_cell_length_c 16.433
_cell_angle_alpha 90.00
_cell_angle_beta 90.00
_cell_angle_gamma 90.00
_space_group_name_H-M_alt 'P 1'
_space_group_IT_number 1
_space_group_name_Hall 'P 1'
loop_
_atom_site_label
_atom_site_type_symbol
_atom_site_fract_x
_atom_site_fract_y
_atom_site_fract_z
Zr1 Zr 0.000 0.000 0.000
Pd1 Pd 0.000 0.500 0.373
Pd2 Pd 0.500 0.000 0.627
Pd3 Pd 0.500 0.000 0.881
Pd4 Pd 0.000 0.500 0.119
Pd5 Pd 0.500 0.500 0.246
Pd6 Pd 0.500 0.000 0.119
Tb1 Tb 0.000 0.000 0.248
Pd7 Pd 0.500 0.500 0.754
Pd8 Pd 0.000 0.500 0.881
Pd9 Pd 0.500 0.000 0.373
Pd10 Pd 0.000 0.500 0.627
Tb2 Tb 0.000 0.000 0.752
Tb3 Tb 0.000 0.000 0.500
Pd11 Pd 0.500 0.500 0.500
Pd12 Pd 0.500 0.500 0.000



# 12
# Tc3Pd GGA-PBE optimized geometry
# Uncorrected energy   -8.99 eV per atom
# Relative energy among the computed polymorphs   0.60 eV/f.u.
# Formation enthalpy at 0 K   83 meV/atom
# N(E_F)   3.6 states/eV per cell
# Symmetry   I4/mmm, No. 139
# Crystal system   tetragonal
data_Tc3Pd
_chemical_formula_sum 'Tc3 Pd1'
_cell_length_a 3.908
_cell_length_b 3.908
_cell_length_c 4.721
_cell_angle_alpha 114.45
_cell_angle_beta 114.45
_cell_angle_gamma 90.00
_space_group_name_H-M_alt 'P 1'
_space_group_IT_number 1
_space_group_name_Hall 'P 1'
loop_
_atom_site_label
_atom_site_type_symbol
_atom_site_fract_x
_atom_site_fract_y
_atom_site_fract_z
Tc1 Tc 0.250 0.750 0.500
Tc2 Tc 0.500 0.500 0.000
Tc3 Tc 0.750 0.250 0.500
Pd1 Pd 0.000 0.000 0.000